(1)
{
  "formula": "BeCo2O4",
  "functional": "meta-GGA SCAN",
  "state": "single point on PBEsol structure",
  "magnetic_moment_mub_per_cell": 0.00,
  "crystal_system": "cubic",
  "spacegroup": "No. 227",
  "e_form_raw_ev_per_atom": -1.934,
  "dft_energy_ev_per_atom": -11.060,
  "dos_ef_per_ev_fu": 0.000,
  "lattice_angstrom": [[0.000, 3.825, 3.825], [3.825, 0.000, 3.825], [3.825, 3.825, 0.000]],
  "species": ["Be", "Be", "Co", "Co", "Co", "Co", "O", "O", "O", "O", "O", "O", "O", "O"],
  "frac_coords": [[0.125, 0.125, 0.125], [0.875, 0.875, 0.875], [0.000, 0.500, 0.500], [0.500, 0.000, 0.500], [0.500, 0.500, 0.000], [0.500, 0.500, 0.500], [0.253, 0.253, 0.253], [0.253, 0.253, 0.741], [0.253, 0.741, 0.253], [0.259, 0.747, 0.747], [0.741, 0.253, 0.253], [0.747, 0.259, 0.747], [0.747, 0.747, 0.259], [0.747, 0.747, 0.747]]
}



(2)
{
  "formula": "BeCoTeO2",
  "functional": "meta-GGA SCAN",
  "state": "single point on PBEsol structure",
  "magnetic_moment_mub_per_cell": 2.14,
  "crystal_system": "tetragonal",
  "spacegroup": "No. 123",
  "e_form_raw_ev_per_atom": 0.389,
  "dft_energy_ev_per_atom": -13.885,
  "dos_ef_per_ev_fu": 5.154,
  "lattice_angstrom": [[3.983, 0.000, 0.000], [0.000, 3.983, 0.000], [0.000, 0.000, 4.725]],
  "species": ["Be", "Co", "Te", "O", "O"],
  "frac_coords": [[0.000, 0.000, 0.000], [0.500, 0.500, 0.000], [0.000, 0.000, 0.500], [0.000, 0.500, 0.500], [0.500, 0.000, 0.500]]
}



(3)
{
  "formula": "BeCoOs2",
  "functional": "meta-GGA SCAN",
  "state": "single point on PBEsol structure",
  "magnetic_moment_mub_per_cell": 0.00,
  "crystal_system": "monoclinic",
  "spacegroup": "No. 12",
  "dft_energy_ev_per_atom": -41.191,
  "dos_ef_per_ev_fu": 2.672,
  "lattice_angstrom": [[4.109, -1.317, 0.000], [4.109, 1.317, 0.000], [-0.800, 0.000, 4.450]],
  "species": ["Be", "Co", "Os", "Os"],
  "frac_coords": [[0.000, 0.000, 0.000], [0.500, 0.500, 0.500], [0.246, 0.246, 0.753], [0.754, 0.754, 0.247]]
}